Run i
A plane-wave DFT calculation with GGA-PBE was carried out for an optimized crystal structure of ScGe2Rh4.

a b c (Å): 18.2872 4.1075 5.7461
angles (deg): 90.00 90.00 90.00
Fractional coordinates of all 28 atoms:
Sc 0.1211 0.2500 0.0172
Sc 0.3789 0.7500 0.5172
Sc 0.6211 0.2500 0.4828
Sc 0.8789 0.7500 0.9828
Ge 0.0415 0.7500 0.2878
Ge 0.2162 0.2500 0.5329
Ge 0.2838 0.7500 0.0329
Ge 0.4585 0.2500 0.7878
Ge 0.5415 0.7500 0.2122
Ge 0.7162 0.2500 0.9671
Ge 0.7838 0.7500 0.4671
Ge 0.9585 0.2500 0.7122
Rh 0.0306 0.7500 0.8352
Rh 0.0851 0.2500 0.5197
Rh 0.1806 0.7500 0.2940
Rh 0.1834 0.7500 0.7684
Rh 0.3166 0.2500 0.2684
Rh 0.3194 0.2500 0.7940
Rh 0.4149 0.7500 0.0197
Rh 0.4694 0.2500 0.3352
Rh 0.5306 0.7500 0.6648
Rh 0.5851 0.2500 0.9803
Rh 0.6806 0.7500 0.2060
Rh 0.6834 0.7500 0.7316
Rh 0.8166 0.2500 0.2316
Rh 0.8194 0.2500 0.7060
Rh 0.9149 0.7500 0.4803
Rh 0.9694 0.2500 0.1648

space-group type = Pnma (62)
N(E_F) = 10.86 states/eV/cell
crystal system = orthorhombic

Run ii
A plane-wave DFT calculation with GGA-PBE was carried out for an optimized crystal structure of ScGe2Rh4.

a b c (Å): 4.6393 4.6393 12.3675
angles (deg): 90.00 90.00 90.00
Fractional coordinates of all 14 atoms:
Sc 0.0000 0.0000 0.0000
Sc 0.5000 0.5000 0.5000
Ge 0.0000 0.0000 0.3891
Ge 0.0000 0.0000 0.6109
Ge 0.5000 0.5000 0.1109
Ge 0.5000 0.5000 0.8891
Rh 0.0000 0.0000 0.2008
Rh 0.0000 0.0000 0.7992
Rh 0.0000 0.5000 0.0000
Rh 0.0000 0.5000 0.5000
Rh 0.5000 0.0000 0.0000
Rh 0.5000 0.0000 0.5000
Rh 0.5000 0.5000 0.2992
Rh 0.5000 0.5000 0.7008

space-group type = I4/mmm (139)
N(E_F) = 9.72 states/eV/cell
crystal system = tetragonal

Stability summary - winner: run i; margin: 1112 meV per atom.

Run i
A plane-wave DFT calculation with GGA-PBE was carried out for an optimized crystal structure of SiGeRh.

a b c (Å): 6.3881 6.1163 5.6734
angles (deg): 90.00 118.17 90.00
Fractional coordinates of all 12 atoms:
Si 0.0000 0.1969 0.0000
Si 0.0000 0.8031 0.5000
Si 0.5000 0.3031 0.5000
Si 0.5000 0.6969 0.0000
Ge 0.3172 0.3360 0.8370
Ge 0.3172 0.6640 0.3370
Ge 0.8172 0.1640 0.3370
Ge 0.8172 0.8360 0.8370
Rh 0.3860 0.0346 0.1593
Rh 0.3860 0.9654 0.6593
Rh 0.8860 0.4654 0.6593
Rh 0.8860 0.5346 0.1593

space-group type = Cc (9)
N(E_F) = 4.85 states/eV/cell
crystal system = monoclinic

Run ii
A plane-wave DFT calculation with GGA-PBE was carried out for an optimized crystal structure of SiGeRh.

a b c (Å): 4.2690 4.5907 5.8799
angles (deg): 73.91 76.94 67.63
Fractional coordinates of all 6 atoms:
Si 0.2401 0.2377 0.0403
Si 0.7599 0.7623 0.9597
Ge 0.3496 0.2738 0.5504
Ge 0.6504 0.7262 0.4496
Rh 0.2155 0.6991 0.1660
Rh 0.7845 0.3009 0.8340

space-group type = P-1 (2)
N(E_F) = 1.61 states/eV/cell
crystal system = triclinic

Run iii
A plane-wave DFT calculation with GGA-PBE was carried out for an optimized crystal structure of SiGeRh.

a b c (Å): 6.4873 6.0939 5.0601
angles (deg): 90.00 111.53 90.00
Fractional coordinates of all 12 atoms:
Si 0.1113 0.2483 0.2983
Si 0.1113 0.2517 0.7983
Si 0.8887 0.7483 0.2017
Si 0.8887 0.7517 0.7017
Ge 0.3749 0.5222 0.6921
Ge 0.3749 0.9778 0.1921
Ge 0.6251 0.0222 0.8079
Ge 0.6251 0.4778 0.3079
Rh 0.2115 0.5963 0.1201
Rh 0.2115 0.9037 0.6201
Rh 0.7885 0.0963 0.3799
Rh 0.7885 0.4037 0.8799

space-group type = P2_1/c (14)
N(E_F) = 5.54 states/eV/cell
crystal system = monoclinic

Run iv
A plane-wave DFT calculation with GGA-PBE was carried out for an optimized crystal structure of SiGeRh.

a b c (Å): 4.0564 4.0564 6.0016
angles (deg): 90.00 90.00 90.00
Fractional coordinates of all 6 atoms:
Si 0.2500 0.7500 0.0000
Si 0.7500 0.2500 0.0000
Ge 0.2500 0.7500 0.5000
Ge 0.7500 0.2500 0.5000
Rh 0.2500 0.2500 0.2231
Rh 0.7500 0.7500 0.7769

space-group type = P4/nmm (129)
N(E_F) = 2.10 states/eV/cell
crystal system = tetragonal

Stability summary - winner: run iv; margin: 15 meV per atom.

Run i
A plane-wave DFT calculation with GGA-PBE was carried out for an optimized crystal structure of SiGeRh.

a b c (Å): 4.3081 4.5275 5.6879
angles (deg): 70.20 70.03 87.97
Fractional coordinates of all 6 atoms:
Si 0.0771 0.2291 0.0703
Si 0.9229 0.7709 0.9297
Ge 0.2697 0.3975 0.4080
Ge 0.7303 0.6025 0.5920
Rh 0.4697 0.0412 0.7534
Rh 0.5303 0.9588 0.2466

space-group type = P-1 (2)
N(E_F) = 2.04 states/eV/cell
crystal system = triclinic

Run ii
A plane-wave DFT calculation with GGA-PBE was carried out for an optimized crystal structure of SiGeRh.

a b c (Å): 5.8159 5.8159 5.8159
angles (deg): 90.00 90.00 90.00
Fractional coordinates of all 12 atoms:
Si 0.0000 0.0000 0.0000
Si 0.0000 0.5000 0.5000
Si 0.5000 0.0000 0.5000
Si 0.5000 0.5000 0.0000
Ge 0.0000 0.0000 0.5000
Ge 0.0000 0.5000 0.0000
Ge 0.5000 0.0000 0.0000
Ge 0.5000 0.5000 0.5000
Rh 0.2500 0.2500 0.7500
Rh 0.2500 0.7500 0.2500
Rh 0.7500 0.2500 0.2500
Rh 0.7500 0.7500 0.7500

space-group type = F-43m (216)
N(E_F) = 5.09 states/eV/cell
crystal system = cubic

Run iii
A plane-wave DFT calculation with GGA-PBE was carried out for an optimized crystal structure of SiGeRh.

a b c (Å): 2.7796 11.7753 5.7614
angles (deg): 90.00 90.00 90.00
Fractional coordinates of all 12 atoms:
Si 0.0000 0.0552 0.0000
Si 0.0000 0.9448 0.5000
Si 0.5000 0.4448 0.5000
Si 0.5000 0.5552 0.0000
Ge 0.0000 0.1933 0.6793
Ge 0.0000 0.8067 0.1793
Ge 0.5000 0.3067 0.1793
Ge 0.5000 0.6933 0.6793
Rh 0.0000 0.3952 0.8399
Rh 0.0000 0.6048 0.3399
Rh 0.5000 0.1048 0.3399
Rh 0.5000 0.8952 0.8399

space-group type = Cmc2_1 (36)
N(E_F) = 6.96 states/eV/cell
crystal system = orthorhombic

Run iv
A plane-wave DFT calculation with GGA-PBE was carried out for an optimized crystal structure of SiGeRh.

a b c (Å): 5.7710 4.9914 4.8378
angles (deg): 71.89 55.29 52.82
Fractional coordinates of all 6 atoms:
Si 0.1478 0.1478 0.8522
Si 0.8522 0.8522 0.1478
Ge 0.3445 0.6555 0.3445
Ge 0.6555 0.3445 0.6555
Rh 0.2500 0.2500 0.2500
Rh 0.7500 0.7500 0.7500

space-group type = Fmmm (69)
N(E_F) = 2.11 states/eV/cell
crystal system = orthorhombic

Stability summary - winner: run iii; margin: 15 meV per atom.

Run i
A plane-wave DFT calculation with GGA-PBE was carried out for an optimized crystal structure of SiGe3Rh.

a b c (Å): 4.7730 4.7730 4.7730
angles (deg): 90.00 90.00 90.00
Fractional coordinates of all 5 atoms:
Si 0.0000 0.0000 0.0000
Ge 0.0000 0.5000 0.5000
Ge 0.5000 0.0000 0.5000
Ge 0.5000 0.5000 0.0000
Rh 0.5000 0.5000 0.5000

space-group type = Pm-3m (221)
N(E_F) = 3.83 states/eV/cell
crystal system = cubic

Run ii
A plane-wave DFT calculation with GGA-PBE was carried out for an optimized crystal structure of SiGe3Rh.

a b c (Å): 4.6558 4.6558 4.6558
angles (deg): 90.00 90.00 90.00
Fractional coordinates of all 5 atoms:
Si 0.0000 0.0000 0.0000
Ge 0.0000 0.0000 0.5000
Ge 0.0000 0.5000 0.0000
Ge 0.5000 0.0000 0.0000
Rh 0.5000 0.5000 0.5000

space-group type = Pm-3m (221)
N(E_F) = 3.97 states/eV/cell
crystal system = cubic

Stability summary - winner: run i; margin: 406 meV per atom.

Run i
A plane-wave DFT calculation with GGA-PBE was carried out for an optimized crystal structure of SmGe3Rh3.

a b c (Å): 7.8392 7.8392 7.8392
angles (deg): 51.95 51.95 51.95
Fractional coordinates of all 14 atoms:
Sm 0.1696 0.1696 0.1696
Sm 0.8304 0.8304 0.8304
Ge 0.1437 0.7023 0.3861
Ge 0.2977 0.6139 0.8563
Ge 0.3861 0.1437 0.7023
Ge 0.6139 0.8563 0.2977
Ge 0.7023 0.3861 0.1437
Ge 0.8563 0.2977 0.6139
Rh 0.0099 0.5892 0.2624
Rh 0.2624 0.0099 0.5892
Rh 0.4108 0.7376 0.9901
Rh 0.5892 0.2624 0.0099
Rh 0.7376 0.9901 0.4108
Rh 0.9901 0.4108 0.7376

space-group type = R-3 (148)
N(E_F) = 7.31 states/eV/cell
crystal system = trigonal

Run ii
A plane-wave DFT calculation with GGA-PBE was carried out for an optimized crystal structure of SmGe3Rh3.

a b c (Å): 7.7778 7.7778 7.7778
angles (deg): 90.00 90.00 90.00
Fractional coordinates of all 28 atoms:
Sm 0.0572 0.4428 0.5572
Sm 0.4428 0.5572 0.0572
Sm 0.5572 0.0572 0.4428
Sm 0.9428 0.9428 0.9428
Ge 0.0116 0.3044 0.9157
Ge 0.0843 0.5116 0.1956
Ge 0.1956 0.0843 0.5116
Ge 0.3044 0.9157 0.0116
Ge 0.4157 0.4884 0.6956
Ge 0.4884 0.6956 0.4157
Ge 0.5116 0.1956 0.0843
Ge 0.5843 0.9884 0.8044
Ge 0.6956 0.4157 0.4884
Ge 0.8044 0.5843 0.9884
Ge 0.9157 0.0116 0.3044
Ge 0.9884 0.8044 0.5843
Rh 0.1114 0.6114 0.8886
Rh 0.1796 0.1796 0.1796
Rh 0.1954 0.8046 0.3046
Rh 0.3046 0.1954 0.8046
Rh 0.3204 0.8204 0.6796
Rh 0.3886 0.3886 0.3886
Rh 0.6114 0.8886 0.1114
Rh 0.6796 0.3204 0.8204
Rh 0.6954 0.6954 0.6954
Rh 0.8046 0.3046 0.1954
Rh 0.8204 0.6796 0.3204
Rh 0.8886 0.1114 0.6114

space-group type = P2_13 (198)
N(E_F) = 9.33 states/eV/cell
crystal system = cubic

Run iii
A plane-wave DFT calculation with GGA-PBE was carried out for an optimized crystal structure of SmGe3Rh3.

a b c (Å): 6.6906 6.6906 6.6906
angles (deg): 90.00 90.00 90.00
Fractional coordinates of all 14 atoms:
Sm 0.0000 0.0000 0.0000
Sm 0.5000 0.5000 0.5000
Ge 0.0000 0.2500 0.5000
Ge 0.0000 0.7500 0.5000
Ge 0.2500 0.5000 0.0000
Ge 0.5000 0.0000 0.2500
Ge 0.5000 0.0000 0.7500
Ge 0.7500 0.5000 0.0000
Rh 0.0000 0.5000 0.2500
Rh 0.0000 0.5000 0.7500
Rh 0.2500 0.0000 0.5000
Rh 0.5000 0.2500 0.0000
Rh 0.5000 0.7500 0.0000
Rh 0.7500 0.0000 0.5000

space-group type = Pm-3n (223)
N(E_F) = 12.09 states/eV/cell
crystal system = cubic

Stability summary - winner: run ii; margin: 99 meV per atom.

Run i
A plane-wave DFT calculation with GGA-PBE was carried out for an optimized crystal structure of Sm2Ge3Rh.

a b c (Å): 8.4932 8.4283 5.9287
angles (deg): 70.08 68.90 41.02
Fractional coordinates of all 12 atoms:
Sm 0.2486 0.7514 0.7514
Sm 0.2500 0.2500 0.2500
Sm 0.7500 0.7500 0.7500
Sm 0.7514 0.2486 0.2486
Ge 0.1626 0.6683 0.3317
Ge 0.3314 0.3314 0.6686
Ge 0.3317 0.8374 0.1626
Ge 0.6683 0.1626 0.8374
Ge 0.6686 0.6686 0.3314
Ge 0.8374 0.3317 0.6683
Rh 0.1665 0.1665 0.8335
Rh 0.8335 0.8335 0.1665

space-group type = Fmmm (69)
N(E_F) = 4.38 states/eV/cell
crystal system = orthorhombic

Run ii
A plane-wave DFT calculation with GGA-PBE was carried out for an optimized crystal structure of Sm2Ge3Rh.

a b c (Å): 10.7544 4.3736 7.0842
angles (deg): 90.00 130.89 90.00
Fractional coordinates of all 12 atoms:
Sm 0.0000 0.0000 0.0000
Sm 0.1104 0.0000 0.5934
Sm 0.5000 0.5000 0.0000
Sm 0.6104 0.5000 0.5934
Ge 0.1764 0.5000 0.9451
Ge 0.2426 0.5000 0.4170
Ge 0.3733 0.0000 0.1853
Ge 0.6764 0.0000 0.9451
Ge 0.7426 0.0000 0.4170
Ge 0.8733 0.5000 0.1853
Rh 0.3825 0.0000 0.5561
Rh 0.8825 0.5000 0.5561

space-group type = Cm (8)
N(E_F) = 7.58 states/eV/cell
crystal system = monoclinic

Stability summary - winner: run i; margin: 66 meV per atom.

Run i
A plane-wave DFT calculation with GGA-PBE was carried out for an optimized crystal structure of SnGeRh4.

a b c (Å): 7.2124 2.9493 17.3237
angles (deg): 90.00 90.00 90.00
Fractional coordinates of all 24 atoms:
Sn 0.1957 0.2500 0.1870
Sn 0.3043 0.7500 0.6870
Sn 0.6957 0.2500 0.3130
Sn 0.8043 0.7500 0.8130
Ge 0.2491 0.7500 0.4545
Ge 0.2509 0.2500 0.9545
Ge 0.7491 0.7500 0.0455
Ge 0.7509 0.2500 0.5455
Rh 0.0080 0.7500 0.2936
Rh 0.0316 0.7500 0.5703
Rh 0.1023 0.7500 0.0594
Rh 0.1762 0.7500 0.8413
Rh 0.3238 0.2500 0.3413
Rh 0.3977 0.2500 0.5594
Rh 0.4684 0.2500 0.0703
Rh 0.4920 0.2500 0.7936
Rh 0.5080 0.7500 0.2064
Rh 0.5316 0.7500 0.9297
Rh 0.6023 0.7500 0.4406
Rh 0.6762 0.7500 0.6587
Rh 0.8238 0.2500 0.1587
Rh 0.8977 0.2500 0.9406
Rh 0.9684 0.2500 0.4297
Rh 0.9920 0.2500 0.7064

space-group type = Pnma (62)
N(E_F) = 28.83 states/eV/cell
crystal system = orthorhombic

Run ii
A plane-wave DFT calculation with GGA-PBE was carried out for an optimized crystal structure of SnGeRh4.

a b c (Å): 4.1450 4.1450 6.0556
angles (deg): 90.00 90.00 90.00
Fractional coordinates of all 6 atoms:
Sn 0.0000 0.0000 0.0000
Ge 0.5000 0.5000 0.5000
Rh 0.0000 0.5000 0.2693
Rh 0.0000 0.5000 0.7307
Rh 0.5000 0.0000 0.2693
Rh 0.5000 0.0000 0.7307

space-group type = P4/mmm (123)
N(E_F) = 7.31 states/eV/cell
crystal system = tetragonal

Stability summary - winner: run i; margin: 95 meV per atom.

Run i
A plane-wave DFT calculation with GGA-PBE was carried out for an optimized crystal structure of SrGeRh3.

a b c (Å): 4.9368 4.9368 4.9368
angles (deg): 90.00 90.00 90.00
Fractional coordinates of all 5 atoms:
Sr 0.0000 0.0000 0.0000
Ge 0.5000 0.5000 0.5000
Rh 0.0000 0.0000 0.5000
Rh 0.0000 0.5000 0.0000
Rh 0.5000 0.0000 0.0000

space-group type = Pm-3m (221)
N(E_F) = 4.30 states/eV/cell
crystal system = cubic

Run ii
A plane-wave DFT calculation with GGA-PBE was carried out for an optimized crystal structure of SrGeRh3.

a b c (Å): 4.6657 4.6657 4.6657
angles (deg): 90.00 90.00 90.00
Fractional coordinates of all 5 atoms:
Sr 0.0000 0.0000 0.0000
Ge 0.5000 0.5000 0.5000
Rh 0.0000 0.5000 0.5000
Rh 0.5000 0.0000 0.5000
Rh 0.5000 0.5000 0.0000

space-group type = Pm-3m (221)
N(E_F) = 7.40 states/eV/cell
crystal system = cubic

Stability summary - winner: run ii; margin: 1851 meV per atom.